Arrangement one

A plane-wave DFT calculation with GGA-PBE was carried out for a relaxed structure of SrTe2Ir. Values from VASP.

The structure in Quantum ESPRESSO input format:
```
&SYSTEM
  ibrav = 0, nat = 4, ntyp = 3
/
ATOMIC_SPECIES
Sr 87.62 Sr.upf
Te 127.60 Te.upf
Ir 192.22 Ir.upf
ATOMIC_POSITIONS crystal
Sr 0.000 0.000 0.000
Te 0.500 0.500 0.300
Te 0.500 0.500 0.700
Ir 0.000 0.000 0.500
CELL_PARAMETERS angstrom
3.606 0.000 0.000
0.000 3.606 0.000
0.000 0.000 7.811
```

D(E_F) ... 0.99 states/eV per atom
Crystal system ... tetragonal

Arrangement two

A plane-wave DFT calculation with GGA-PBE was carried out for a relaxed structure of SrTe2Ir. Values from VASP.

The structure in Quantum ESPRESSO input format:
```
&SYSTEM
  ibrav = 0, nat = 4, ntyp = 3
/
ATOMIC_SPECIES
Sr 87.62 Sr.upf
Te 127.60 Te.upf
Ir 192.22 Ir.upf
ATOMIC_POSITIONS crystal
Sr 0.000 0.000 0.000
Te 0.250 0.250 0.250
Te 0.750 0.750 0.750
Ir 0.500 0.500 0.500
CELL_PARAMETERS angstrom
0.000 3.676 3.676
3.676 0.000 3.676
3.676 3.676 0.000
```

D(E_F) ... 1.58 states/eV per atom
Crystal system ... cubic

Arrangement three

A plane-wave DFT calculation with GGA-PBE was carried out for a relaxed structure of SrTe2Ir. Values from VASP.

The structure in Quantum ESPRESSO input format:
```
&SYSTEM
  ibrav = 0, nat = 4, ntyp = 3
/
ATOMIC_SPECIES
Sr 87.62 Sr.upf
Te 127.60 Te.upf
Ir 192.22 Ir.upf
ATOMIC_POSITIONS crystal
Sr 0.000 0.000 0.000
Te 0.677 0.677 0.773
Te 0.865 0.865 0.381
Ir 0.288 0.288 0.077
CELL_PARAMETERS angstrom
5.642 -2.011 0.000
5.642 2.011 0.000
-2.608 0.000 5.589
```

D(E_F) ... 0.58 states/eV per atom
Crystal system ... monoclinic

Arrangement four

A plane-wave DFT calculation with GGA-PBE was carried out for a relaxed structure of SrTe2Ir. Values from VASP.

The structure in Quantum ESPRESSO input format:
```
&SYSTEM
  ibrav = 0, nat = 4, ntyp = 3
/
ATOMIC_SPECIES
Sr 87.62 Sr.upf
Te 127.60 Te.upf
Ir 192.22 Ir.upf
ATOMIC_POSITIONS crystal
Sr 0.000 0.000 0.000
Te 0.312 0.688 0.500
Te 0.688 0.312 0.500
Ir 0.500 0.500 0.000
CELL_PARAMETERS angstrom
3.214 -4.372 0.000
3.214 4.372 0.000
0.000 0.000 4.119
```

D(E_F) ... 0.25 states/eV per atom
Crystal system ... orthorhombic

Verdict on stability: arrangement three comes out on top.

Arrangement one

A plane-wave DFT calculation with GGA-PBE was carried out for a relaxed structure of SrTe2Ir. Values from VASP.

The structure in Quantum ESPRESSO input format:
```
&SYSTEM
  ibrav = 0, nat = 4, ntyp = 3
/
ATOMIC_SPECIES
Sr 87.62 Sr.upf
Te 127.60 Te.upf
Ir 192.22 Ir.upf
ATOMIC_POSITIONS crystal
Sr 0.000 0.000 0.000
Te 0.500 0.500 0.297
Te 0.500 0.500 0.703
Ir 0.000 0.000 0.500
CELL_PARAMETERS angstrom
2.100 -3.717 0.000
2.100 3.717 0.000
0.000 0.000 7.861
```

D(E_F) ... 1.07 states/eV per atom
Crystal system ... orthorhombic

Arrangement two

A plane-wave DFT calculation with GGA-PBE was carried out for a relaxed structure of SrTe2Ir. Values from VASP.

The structure in Quantum ESPRESSO input format:
```
&SYSTEM
  ibrav = 0, nat = 4, ntyp = 3
/
ATOMIC_SPECIES
Sr 87.62 Sr.upf
Te 127.60 Te.upf
Ir 192.22 Ir.upf
ATOMIC_POSITIONS crystal
Sr 0.000 0.000 0.000
Te 0.321 0.821 0.500
Te 0.624 0.624 0.000
Ir 0.763 0.263 0.500
CELL_PARAMETERS angstrom
-1.875 2.064 6.952
1.875 -2.064 6.952
1.875 2.064 -6.952
```

D(E_F) ... 0.87 states/eV per atom
Crystal system ... orthorhombic

Verdict on stability: arrangement two comes out on top.

Arrangement one

A plane-wave DFT calculation with GGA-PBE was carried out for a relaxed structure of SrTe2Ir. Values from VASP.

The structure in Quantum ESPRESSO input format:
```
&SYSTEM
  ibrav = 0, nat = 4, ntyp = 3
/
ATOMIC_SPECIES
Sr 87.62 Sr.upf
Te 127.60 Te.upf
Ir 192.22 Ir.upf
ATOMIC_POSITIONS crystal
Sr 0.000 0.000 0.000
Te 0.398 0.398 0.398
Te 0.602 0.602 0.602
Ir 0.500 0.500 0.500
CELL_PARAMETERS angstrom
2.556 1.476 8.215
-2.556 1.476 8.215
0.000 -2.951 8.215
```

D(E_F) ... 2.56 states/eV per atom
Crystal system ... trigonal

Arrangement two

A plane-wave DFT calculation with GGA-PBE was carried out for a relaxed structure of SrTe2Ir. Values from VASP.

The structure in Quantum ESPRESSO input format:
```
&SYSTEM
  ibrav = 0, nat = 8, ntyp = 3
/
ATOMIC_SPECIES
Sr 87.62 Sr.upf
Te 127.60 Te.upf
Ir 192.22 Ir.upf
ATOMIC_POSITIONS crystal
Sr 0.000 0.000 0.000
Sr 0.750 0.250 0.500
Te 0.209 0.625 0.084
Te 0.375 0.459 0.584
Te 0.541 0.125 0.916
Te 0.875 0.791 0.416
Ir 0.250 0.750 0.500
Ir 0.500 0.500 0.000
CELL_PARAMETERS angstrom
-4.092 4.092 3.404
4.092 -4.092 3.404
4.092 4.092 -3.404
```

D(E_F) ... 1.41 states/eV per atom
Crystal system ... tetragonal

Verdict on stability: arrangement two comes out on top.

Arrangement one

A plane-wave DFT calculation with GGA-PBE was carried out for a relaxed structure of SrTiIr2. Values from VASP.

The structure in Quantum ESPRESSO input format:
```
&SYSTEM
  ibrav = 0, nat = 8, ntyp = 3
/
ATOMIC_SPECIES
Sr 87.62 Sr.upf
Ti 47.87 Ti.upf
Ir 192.22 Ir.upf
ATOMIC_POSITIONS crystal
Sr 0.000 0.000 0.000
Sr 0.750 0.250 0.500
Ti 0.250 0.750 0.500
Ti 0.500 0.500 0.000
Ir 0.181 0.125 0.556
Ir 0.375 0.819 0.944
Ir 0.569 0.625 0.444
Ir 0.875 0.431 0.056
CELL_PARAMETERS angstrom
-3.687 3.687 3.059
3.687 -3.687 3.059
3.687 3.687 -3.059
```

D(E_F) ... 0.37 states/eV per atom
Crystal system ... tetragonal

Arrangement two

A plane-wave DFT calculation with GGA-PBE was carried out for a relaxed structure of SrTiIr2. Values from VASP.

The structure in Quantum ESPRESSO input format:
```
&SYSTEM
  ibrav = 0, nat = 4, ntyp = 3
/
ATOMIC_SPECIES
Sr 87.62 Sr.upf
Ti 47.87 Ti.upf
Ir 192.22 Ir.upf
ATOMIC_POSITIONS crystal
Sr 0.000 0.000 0.000
Ti 0.000 0.000 0.500
Ir 0.500 0.500 0.305
Ir 0.500 0.500 0.695
CELL_PARAMETERS angstrom
3.128 0.000 0.000
0.000 3.128 0.000
0.000 0.000 7.596
```

D(E_F) ... 0.38 states/eV per atom
Crystal system ... tetragonal

Verdict on stability: arrangement two comes out on top.

Arrangement one

A plane-wave DFT calculation with GGA-PBE was carried out for a relaxed structure of SrTi3Ir. Values from VASP.

The structure in Quantum ESPRESSO input format:
```
&SYSTEM
  ibrav = 0, nat = 5, ntyp = 3
/
ATOMIC_SPECIES
Sr 87.62 Sr.upf
Ti 47.87 Ti.upf
Ir 192.22 Ir.upf
ATOMIC_POSITIONS crystal
Sr 0.000 0.000 0.000
Ti 0.000 0.500 0.500
Ti 0.500 0.000 0.500
Ti 0.500 0.500 0.000
Ir 0.500 0.500 0.500
CELL_PARAMETERS angstrom
4.915 0.000 0.000
0.000 4.915 0.000
0.000 0.000 4.915
```

D(E_F) ... 1.71 states/eV per atom
Crystal system ... cubic

Arrangement two

A plane-wave DFT calculation with GGA-PBE was carried out for a relaxed structure of SrTi3Ir. Values from VASP.

The structure in Quantum ESPRESSO input format:
```
&SYSTEM
  ibrav = 0, nat = 5, ntyp = 3
/
ATOMIC_SPECIES
Sr 87.62 Sr.upf
Ti 47.87 Ti.upf
Ir 192.22 Ir.upf
ATOMIC_POSITIONS crystal
Sr 0.000 0.000 0.000
Ti 0.000 0.000 0.500
Ti 0.000 0.500 0.000
Ti 0.500 0.000 0.000
Ir 0.500 0.500 0.500
CELL_PARAMETERS angstrom
4.585 0.000 0.000
0.000 4.585 0.000
0.000 0.000 4.585
```

D(E_F) ... 1.58 states/eV per atom
Crystal system ... cubic

Verdict on stability: arrangement one comes out on top.